(1)
The following is a DFT calculation (PBE-GGA) of an optimized crystal structure of Li3AgPd4.

Summary:
The value obtained for the offset from the most stable computed form is 60 meV/atom. The density of states at the Fermi level is 9.88 states/eV/cell. The value obtained for the magnetization is 0.00 μB per cell. For the formation energy, the calculation gives -1.6 eV/f.u. Its total energy is -3.870 eV per atom.

Unit cell a=21.0344 b=2.8162 c=4.2179 alpha=90.00 beta=101.28 gamma=90.00
With the nearest neighbours (Å) after each atom.
Space group C2/m (No. 12)
One atom of each set of equivalent atoms:
1 Li 0.0000 0.0000 0.0000 [2 per cell]  4 Pd 2.45, 4 Ag 2.54
2 Li 0.1460 0.0000 0.6427 [4 per cell]  5 Pd 2.66-2.73, 2 Li 2.82
3 Ag 0.0000 0.5000 0.5000 [2 per cell]  4 Li 2.54, 2 Ag 2.82
4 Pd 0.0973 0.5000 0.0941 [4 per cell]  6 Li 2.45-2.73, 1 Pd 2.64
5 Pd 0.2253 0.5000 0.2260 [4 per cell]  7 Pd 2.64-2.82, 1 Li 2.66

(2)
The following is a DFT calculation (PBE-GGA) of an optimized crystal structure of LiAg7Pd2.

Summary:
The density of states at the Fermi level is 6.03 states/eV/cell. The value obtained for the magnetization is 0.00 μB per cell. For the formation energy, the calculation gives 2.9 eV/f.u. Its total energy is -2.939 eV per atom.

Unit cell a=7.4830 b=13.3037 c=4.5390 alpha=90.00 beta=90.00 gamma=90.00
With the nearest neighbours (Å) after each atom.
Space group Cmmm (No. 65)
One atom of each set of equivalent atoms:
1 Li 0.0000 0.0000 0.0000 [2 per cell]  2 Ag 2.62
2 Ag 0.0000 0.1967 0.0000 [4 per cell]  1 Li 2.62, 2 Pd 2.63, 4 Ag 2.90
3 Ag 0.0000 0.5000 0.5000 [2 per cell]  2 Pd 2.71, 4 Ag 2.78
4 Ag 0.1832 0.1089 0.5000 [8 per cell]  2 Pd 2.69-2.84, 5 Ag 2.74-2.90
5 Pd 0.0000 0.2962 0.5000 [4 per cell]  7 Ag 2.63-2.84

(3)
The following is a DFT calculation (PBE-GGA) of an optimized crystal structure of Li6AgPd12.

Summary:
The density of states at the Fermi level is 42.41 states/eV/cell. The value obtained for the magnetization is 0.00 μB per cell. For the formation energy, the calculation gives -3.0 eV/f.u. Its total energy is -4.193 eV per atom.

Unit cell a=11.5463 b=11.5463 c=7.6839 alpha=90.00 beta=90.00 gamma=120.00
With the nearest neighbours (Å) after each atom.
Space group R-3 (No. 148, hexagonal axes)
One atom of each set of equivalent atoms:
1 Li 0.0407 0.8536 0.2520 [18 per cell]  4 Pd 2.48-2.60, 1 Ag 2.74
2 Ag 0.0000 0.0000 0.5000 [3 per cell]  6 Pd 2.72, 6 Li 2.74
3 Pd 0.0257 0.7824 0.5674 [18 per cell]  3 Li 2.54-2.79, 2 Pd 2.61-2.74, 1 Ag 2.72
4 Pd 0.0725 0.8254 0.9385 [18 per cell]  2 Li 2.48-2.60, 5 Pd 2.61-2.74

(4)
The following is a DFT calculation (PBE-GGA) of an optimized crystal structure of Li4Ag5Pd2.

Summary:
The value obtained for the offset from the most stable computed form is 0 meV/atom. The density of states at the Fermi level is 8.35 states/eV/cell. The value obtained for the magnetization is 0.00 μB per cell. For the formation energy, the calculation gives -2.5 eV/f.u. Its total energy is -3.161 eV per atom.

Unit cell a=9.1062 b=4.1070 c=9.6606 alpha=90.00 beta=102.61 gamma=90.00
With the nearest neighbours (Å) after each atom.
Space group C2/m (No. 12)
One atom of each set of equivalent atoms:
1 Li 0.0519 0.0000 0.3143 [4 per cell]  3 Li 2.72-3.00, 2 Pd 2.72, 7 Ag 2.74-2.90
2 Li 0.1894 0.5000 0.7831 [4 per cell]  6 Ag 2.71-2.90, 3 Li 2.72-3.00, 3 Pd 2.77-2.88
3 Ag 0.0000 0.5000 0.5000 [2 per cell]  6 Li 2.83-2.90, 6 Ag 2.88-2.89
4 Ag 0.1357 0.0000 0.9489 [4 per cell]  4 Li 2.71-2.74, 5 Pd 2.84-2.87, 3 Ag 2.85-2.94
5 Ag 0.2221 0.0000 0.5968 [4 per cell]  1 Pd 2.76, 6 Li 2.79-2.90, 5 Ag 2.88-2.90
6 Pd 0.0858 0.5000 0.1387 [4 per cell]  5 Li 2.72-2.88, 6 Ag 2.76-2.87, 1 Pd 2.79

(5)
The following is a DFT calculation (PBE-GGA) of an optimized crystal structure of Li7Ag3Pd.

Summary:
The density of states at the Fermi level is 10.25 states/eV/cell. The value obtained for the magnetization is 0.00 μB per cell. For the formation energy, the calculation gives -2.2 eV/f.u. Its total energy is -2.664 eV per atom.

Unit cell a=2.8415 b=21.1375 c=12.3393 alpha=90.00 beta=90.00 gamma=90.00
With the nearest neighbours (Å) after each atom.
Space group Cmcm (No. 63)
One atom of each set of equivalent atoms:
1 Li 0.0000 0.0487 0.0886 [8 per cell]  2 Pd 2.59, 2 Ag 2.73, 5 Li 2.74-2.84
2 Li 0.0000 0.0781 0.6359 [8 per cell]  2 Pd 2.70, 4 Ag 2.72-2.81, 5 Li 2.74-2.84
3 Li 0.0000 0.1382 0.2500 [4 per cell]  4 Li 2.75-2.84
4 Li 0.0000 0.2396 0.6145 [8 per cell]  5 Ag 2.61-2.85, 2 Li 2.84
5 Ag 0.0000 0.3344 0.2500 [4 per cell]  8 Li 2.69-2.72, 2 Ag 2.84
6 Ag 0.0000 0.3492 0.5163 [8 per cell]  7 Li 2.61-2.85, 2 Ag 2.84
7 Pd 0.0000 0.4921 0.7500 [4 per cell]  8 Li 2.59-2.70, 2 Pd 2.84

(6)
The following is a DFT calculation (PBE-GGA) of an optimized crystal structure of LiAg6Pd12.

Summary:
The density of states at the Fermi level is 60.64 states/eV/cell. The value obtained for the magnetization is 0.00 μB per cell. For the formation energy, the calculation gives -1.1 eV/f.u. Its total energy is -4.341 eV per atom.

Unit cell a=12.3493 b=12.3493 c=6.8871 alpha=90.00 beta=90.00 gamma=120.00
With the nearest neighbours (Å) after each atom.
Space group R-3 (No. 148, hexagonal axes)
One atom of each set of equivalent atoms:
1 Li 0.0000 0.0000 0.0000 [3 per cell]  12 Pd 2.78
2 Ag 0.0349 0.7547 0.3377 [18 per cell]  9 Pd 2.82-2.88, 3 Ag 2.82-2.84
3 Pd 0.0182 0.8800 0.6705 [18 per cell]  7 Pd 2.75-2.91, 1 Li 2.78, 4 Ag 2.82-2.87
4 Pd 0.0749 0.5131 0.6629 [18 per cell]  6 Pd 2.75-2.91, 1 Li 2.78, 5 Ag 2.83-2.88

(7)
The following is a DFT calculation (PBE-GGA) of an optimized crystal structure of Li2Ag8Pd3.

Summary:
The value obtained for the offset from the most stable computed form is 0 meV/atom. The density of states at the Fermi level is 4.13 states/eV/cell. The value obtained for the magnetization is 0.00 μB per cell. For the formation energy, the calculation gives -0.7 eV/f.u. Its total energy is -3.304 eV per atom.

Unit cell a=5.5849 b=4.3732 c=8.9761 alpha=90.00 beta=90.73 gamma=90.00
With the nearest neighbours (Å) after each atom.
Space group P2/m (No. 10)
One atom of each set of equivalent atoms:
1 Li 0.1222 0.0000 0.2356 [2 per cell]  3 Pd 2.48-2.61, 5 Ag 2.64-2.77
2 Ag 0.2512 0.0000 0.9478 [2 per cell]  2 Li 2.64-2.69, 4 Ag 2.82-2.92, 2 Pd 2.88
3 Ag 0.2695 0.5000 0.4426 [2 per cell]  4 Pd 2.71-2.89, 4 Ag 2.76-2.89, 2 Li 2.98
4 Ag 0.3811 0.5000 0.1381 [2 per cell]  2 Li 2.77, 6 Ag 2.81-3.04, 2 Pd 2.88-3.05
5 Ag 0.4328 0.0000 0.6557 [2 per cell]  1 Li 2.66, 3 Pd 2.78-2.89, 4 Ag 2.82-2.90
6 Pd 0.0000 0.0000 0.5000 [1 per cell]  2 Li 2.48, 4 Ag 2.71
7 Pd 0.1330 0.5000 0.7520 [2 per cell]  2 Li 2.61, 7 Ag 2.83-2.89

(8)
The following is a DFT calculation (PBE-GGA) of an optimized crystal structure of Li2Ag3Pd4.

Summary:
The value obtained for the offset from the most stable computed form is 19 meV/atom. The density of states at the Fermi level is 6.53 states/eV/cell. The value obtained for the magnetization is 0.00 μB per cell. For the formation energy, the calculation gives -1.7 eV/f.u. Its total energy is -3.876 eV per atom.

Unit cell a=12.1607 b=4.0511 c=6.0820 alpha=90.00 beta=109.34 gamma=90.00
With the nearest neighbours (Å) after each atom.
Space group C2/m (No. 12)
One atom of each set of equivalent atoms:
1 Li 0.1611 0.0000 0.0032 [4 per cell]  5 Pd 2.69-2.80, 5 Ag 2.77-2.81, 2 Li 2.97
2 Ag 0.0000 0.5000 0.0000 [2 per cell]  6 Pd 2.77-2.78, 2 Ag 2.78, 4 Li 2.81
3 Ag 0.1161 0.5000 0.6748 [4 per cell]  3 Li 2.77, 2 Ag 2.78-2.92, 7 Pd 2.82-2.92
4 Pd 0.0578 0.0000 0.3319 [4 per cell]  2 Li 2.69-2.76, 6 Ag 2.78-2.92, 4 Pd 2.80-2.86
5 Pd 0.2221 0.5000 0.3244 [4 per cell]  3 Li 2.74-2.80, 4 Ag 2.77-2.83, 5 Pd 2.80-2.86

Repeat the eighth record exactly.
The following is a DFT calculation (PBE-GGA) of an optimized crystal structure of Li2Ag3Pd4.

Summary:
The value obtained for the offset from the most stable computed form is 19 meV/atom. The density of states at the Fermi level is 6.53 states/eV/cell. The value obtained for the magnetization is 0.00 μB per cell. For the formation energy, the calculation gives -1.7 eV/f.u. Its total energy is -3.876 eV per atom.

Unit cell a=12.1607 b=4.0511 c=6.0820 alpha=90.00 beta=109.34 gamma=90.00
With the nearest neighbours (Å) after each atom.
Space group C2/m (No. 12)
One atom of each set of equivalent atoms:
1 Li 0.1611 0.0000 0.0032 [4 per cell]  5 Pd 2.69-2.80, 5 Ag 2.77-2.81, 2 Li 2.97
2 Ag 0.0000 0.5000 0.0000 [2 per cell]  6 Pd 2.77-2.78, 2 Ag 2.78, 4 Li 2.81
3 Ag 0.1161 0.5000 0.6748 [4 per cell]  3 Li 2.77, 2 Ag 2.78-2.92, 7 Pd 2.82-2.92
4 Pd 0.0578 0.0000 0.3319 [4 per cell]  2 Li 2.69-2.76, 6 Ag 2.78-2.92, 4 Pd 2.80-2.86
5 Pd 0.2221 0.5000 0.3244 [4 per cell]  3 Li 2.74-2.80, 4 Ag 2.77-2.83, 5 Pd 2.80-2.86